[1]
TmTa3Ru4 (GGA-PBE, relaxed); formation enthalpy at 0 K = -0.3788 eV/atom; raw total energy = -10.020 eV per atom
1.0
4.565 0.000 0.000
0.000 4.565 0.000
0.000 0.000 6.359
Tm Ta Ru
1 3 4
Cartesian
0.000 0.000 0.000 Tm
0.000 0.000 3.179 Ta
2.283 2.283 0.000 Ta
2.283 2.283 3.179 Ta
0.000 2.283 1.644 Ru
0.000 2.283 4.715 Ru
2.283 0.000 1.644 Ru
2.283 0.000 4.715 Ru

=====

[2]
TmTaZnRu (GGA-PBE, relaxed); formation enthalpy at 0 K = -0.1380 eV/atom; raw total energy = -6.856 eV per atom
1.0
0.000 3.293 3.293
3.293 0.000 3.293
3.293 3.293 0.000
Tm Ta Zn Ru
1 1 1 1
Cartesian
0.000 0.000 0.000 Tm
3.293 3.293 3.293 Ta
4.940 4.940 4.940 Zn
1.647 1.647 1.647 Ru

=====

[3]
UTaRu4 (GGA-PBE, relaxed); formation enthalpy at 0 K = -0.0761 eV/atom; raw total energy = -10.117 eV per atom
1.0
4.607 -1.570 0.000
4.607 1.570 0.000
-1.895 0.000 6.875
U Ta Ru
1 1 4
Cartesian
0.000 0.000 0.000 U
-0.948 0.000 3.437 Ta
1.794 0.000 4.428 Ru
2.975 0.000 1.074 Ru
4.345 0.000 5.800 Ru
5.526 0.000 2.447 Ru

=====

[4]
UTaRu (GGA-PBE, relaxed); formation enthalpy at 0 K = 0.1255 eV/atom; raw total energy = -10.680 eV per atom
1.0
4.594 0.000 0.000
-2.297 3.979 0.000
0.000 0.000 2.879
U Ta Ru
1 1 1
Cartesian
0.000 0.000 0.000 U
2.297 1.326 0.730 Ta
0.000 2.652 2.075 Ru

=====

[5]
UTaRu5 (GGA-PBE, relaxed); formation enthalpy at 0 K = -0.0391 eV/atom; raw total energy = -9.971 eV per atom
1.0
3.904 0.000 0.000
0.000 3.904 0.000
0.000 0.000 7.601
U Ta Ru
1 1 5
Cartesian
0.000 0.000 0.000 U
1.952 1.952 3.801 Ta
0.000 0.000 3.801 Ru
0.000 1.952 1.853 Ru
0.000 1.952 5.748 Ru
1.952 0.000 1.853 Ru
1.952 0.000 5.748 Ru

=====

[6]
UTaRu (GGA-PBE, relaxed); formation enthalpy at 0 K = 0.1822 eV/atom; raw total energy = -10.623 eV per atom
1.0
0.000 3.474 6.061
2.767 0.000 6.061
2.767 3.474 0.000
U Ta Ru
2 2 2
Cartesian
2.767 1.238 6.061 U
2.767 5.710 6.061 U
1.384 1.737 3.031 Ta
4.151 5.211 9.092 Ta
2.767 3.474 4.618 Ru
2.767 3.474 7.504 Ru

=====

[7]
UTa2Ru3 (GGA-PBE, relaxed); formation enthalpy at 0 K = -0.3230 eV/atom; raw total energy = -10.793 eV per atom
1.0
3.102 0.000 0.000
0.000 3.102 0.000
0.000 0.000 10.559
U Ta Ru
1 2 3
Cartesian
0.000 0.000 0.000 U
0.000 0.000 3.602 Ta
0.000 0.000 6.957 Ta
1.551 1.551 2.051 Ru
1.551 1.551 5.280 Ru
1.551 1.551 8.508 Ru

=====

[8]
UTaVRu (GGA-PBE, relaxed); formation enthalpy at 0 K = 0.1702 eV/atom; raw total energy = -10.214 eV per atom
1.0
0.000 3.215 3.215
3.215 0.000 3.215
3.215 3.215 0.000
U Ta V Ru
1 1 1 1
Cartesian
0.000 0.000 0.000 U
4.823 4.823 4.823 Ta
1.608 1.608 1.608 V
3.215 3.215 3.215 Ru

=====

[9]
TaVRu5 (GGA-PBE, relaxed); formation enthalpy at 0 K = 0.0730 eV/atom; raw total energy = -9.548 eV per atom
1.0
4.169 0.000 0.000
0.000 4.169 0.000
0.000 0.000 6.154
Ta V Ru
1 1 5
Cartesian
0.000 0.000 0.000 Ta
2.084 2.084 3.077 V
0.000 2.084 1.735 Ru
0.000 2.084 4.419 Ru
2.084 0.000 1.735 Ru
2.084 0.000 4.419 Ru
2.084 2.084 0.000 Ru

=====

[10]
Ta2VRu5 (GGA-PBE, relaxed); formation enthalpy at 0 K = -0.2043 eV/atom; raw total energy = -10.105 eV per atom
1.0
3.302 -4.238 0.000
3.302 4.238 0.000
-3.224 0.000 4.295
Ta V Ru
2 1 5
Cartesian
3.302 2.337 0.000 Ta
3.302 -2.337 0.000 Ta
-0.395 0.000 2.252 V
1.660 2.001 2.158 Ru
1.844 0.000 0.243 Ru
1.466 0.000 4.272 Ru
1.660 -2.001 2.158 Ru
3.478 0.000 2.420 Ru

=====

[11]
Ta2VRu (GGA-PBE, relaxed); formation enthalpy at 0 K = 0.4716 eV/atom; raw total energy = -10.053 eV per atom
1.0
-3.558 3.558 2.721
3.558 -3.558 2.721
3.558 3.558 -2.721
Ta V Ru
4 2 2
Cartesian
5.337 1.685 -0.680 Ta
1.685 1.779 0.680 Ta
-1.779 1.873 2.041 Ta
1.873 1.779 3.402 Ta
3.558 0.000 1.361 V
0.000 0.000 2.721 V
0.000 0.000 0.000 Ru
0.000 3.558 1.361 Ru

=====

[12]
TaVRu2 (GGA-PBE, relaxed); formation enthalpy at 0 K = 0.4082 eV/atom; raw total energy = -9.473 eV per atom
1.0
-1.408 2.299 4.873
1.408 -2.299 4.873
1.408 2.299 -4.873
Ta V Ru
1 1 2
Cartesian
0.000 0.000 0.000 Ta
0.000 0.000 4.873 V
0.000 0.000 2.652 Ru
0.000 0.000 7.094 Ru

=====

What is the formula in the fourth record? UTaRu

=====

Copy entry 1 word for word.
TmTa3Ru4 (GGA-PBE, relaxed); formation enthalpy at 0 K = -0.3788 eV/atom; raw total energy = -10.020 eV per atom
1.0
4.565 0.000 0.000
0.000 4.565 0.000
0.000 0.000 6.359
Tm Ta Ru
1 3 4
Cartesian
0.000 0.000 0.000 Tm
0.000 0.000 3.179 Ta
2.283 2.283 0.000 Ta
2.283 2.283 3.179 Ta
0.000 2.283 1.644 Ru
0.000 2.283 4.715 Ru
2.283 0.000 1.644 Ru
2.283 0.000 4.715 Ru

=====

Which value of formation enthalpy at 0 K does entry 12 give? 0.4082 eV/atom

=====

Which value of formation enthalpy at 0 K does entry 12 give? 0.4082 eV/atom